Here is an optimized crystal structure of K2CoRuO4 from Alexandria. Energies are from GGA+U.

a = 6.0549 Å, b = 6.0549 Å, c = 6.9549 Å
α = 90.00°, β = 90.00°, γ = 90.00°
Closest atoms and distances in Å follow each position.
Space group I-4 (No. 82)
Symmetry-distinct sites (fractional):
1 K 0.0000 0.0000 0.0000  8 O 2.82-3.02
2 K 0.0000 0.5000 0.2500  4 O 2.71
3 Co 0.0000 0.0000 0.5000  4 O 1.95
4 Ru 0.0000 0.5000 0.7500  4 O 1.92
5 O 0.1267 0.2274 0.6639  1 Ru 1.92, 1 Co 1.95

Energy = -5.66 eV/atom